## BiAsOsBr2 (PBE)

Data for BiAsOsBr2 after structural relaxation.

a = 5.150 Å, b = 5.150 Å, c = 4.774 Å
α = 90.00°, β = 90.00°, γ = 90.00°
Element x y z (fractional)
Bi (0.500, 0.500, 0.500)
Os (0.000, 0.000, 0.000)
Br (0.500, 0.000, 0.000)
Br (0.000, 0.500, 0.000)
As (0.000, 0.000, 0.500)

E ... -4.0374 eV per atom
Excess energy over the best structure of this formula in the dataset ... 0 meV/atom
Symmetry ... P4/mmm
Crystal system ... tetragonal

---

## BiAs2PBr (PBE)

Data for BiAs2PBr after structural relaxation.

a = 4.961 Å, b = 4.961 Å, c = 4.898 Å
α = 90.00°, β = 90.00°, γ = 90.00°
Element x y z (fractional)
As (0.000, 0.500, 0.000)
As (0.500, 0.000, 0.000)
Br (0.000, 0.000, 0.500)
Bi (0.500, 0.500, 0.500)
P (0.000, 0.000, 0.000)

E ... -3.5875 eV per atom
Excess energy over the best structure of this formula in the dataset ... 0 meV/atom
Symmetry ... P4/mmm
Crystal system ... tetragonal